Entry 1:
A relaxed Mn2CrSiH crystal, computed with PBE.

Its symmetry is P4/mmm. The electronic total energy comes out at -37.50 eV per cell.

Geometry as CIF:
```
data_Mn2CrSiH
_chemical_formula_sum 'Mn2 Cr1 Si1 H1'
_symmetry_space_group_name_H-M 'P 1'
_symmetry_Int_Tables_number 1
_symmetry_space_group_name_Hall 'P 1'
_cell_length_a 3.6431
_cell_length_b 3.6431
_cell_length_c 3.7190
_cell_angle_alpha 90.00
_cell_angle_beta 90.00
_cell_angle_gamma 90.00
loop_
_atom_site_label
_atom_site_fract_x
_atom_site_fract_y
_atom_site_fract_z
Mn1 0.0000 0.5000 0.0000
Mn2 0.5000 0.0000 0.0000
Cr1 0.0000 0.0000 0.5000
Si1 0.5000 0.5000 0.5000
H1 0.0000 0.0000 0.0000
```

---

Entry 2:
A relaxed MnCr2SnH crystal, computed with PBE.

Its symmetry is P4/mmm. The electronic total energy comes out at -34.91 eV per cell.

Geometry as CIF:
```
data_MnCr2SnH
_chemical_formula_sum 'Mn1 Cr2 Sn1 H1'
_symmetry_space_group_name_H-M 'P 1'
_symmetry_Int_Tables_number 1
_symmetry_space_group_name_Hall 'P 1'
_cell_length_a 3.8284
_cell_length_b 3.8284
_cell_length_c 3.9709
_cell_angle_alpha 90.00
_cell_angle_beta 90.00
_cell_angle_gamma 90.00
loop_
_atom_site_label
_atom_site_fract_x
_atom_site_fract_y
_atom_site_fract_z
Mn1 0.0000 0.0000 0.0000
Cr1 0.0000 0.5000 0.5000
Cr2 0.5000 0.0000 0.5000
Sn1 0.5000 0.5000 0.0000
H1 0.0000 0.0000 0.5000
```

---

Entry 3:
A relaxed TaMn2CrH crystal, computed with PBE.

Its symmetry is P4/mmm. The electronic total energy comes out at -42.79 eV per cell.

Geometry as CIF:
```
data_TaMn2CrH
_chemical_formula_sum 'Ta1 Mn2 Cr1 H1'
_symmetry_space_group_name_H-M 'P 1'
_symmetry_Int_Tables_number 1
_symmetry_space_group_name_Hall 'P 1'
_cell_length_a 3.6982
_cell_length_b 3.6982
_cell_length_c 4.0394
_cell_angle_alpha 90.00
_cell_angle_beta 90.00
_cell_angle_gamma 90.00
loop_
_atom_site_label
_atom_site_fract_x
_atom_site_fract_y
_atom_site_fract_z
Ta1 0.0000 0.0000 0.0000
Mn1 0.0000 0.5000 0.5000
Mn2 0.5000 0.0000 0.5000
Cr1 0.5000 0.5000 0.0000
H1 0.5000 0.5000 0.5000
```

---

Entry 4:
A relaxed TaMnCr2H crystal, computed with PBE.

The calculation puts the relative energy among the computed polymorphs at 0.00 eV per formula unit. Its symmetry is P4/mmm. The electronic total energy comes out at -42.86 eV per cell.

Geometry as CIF:
```
data_TaMnCr2H
_chemical_formula_sum 'Ta1 Mn1 Cr2 H1'
_symmetry_space_group_name_H-M 'P 1'
_symmetry_Int_Tables_number 1
_symmetry_space_group_name_Hall 'P 1'
_cell_length_a 3.6284
_cell_length_b 3.6284
_cell_length_c 4.2281
_cell_angle_alpha 90.00
_cell_angle_beta 90.00
_cell_angle_gamma 90.00
loop_
_atom_site_label
_atom_site_fract_x
_atom_site_fract_y
_atom_site_fract_z
Ta1 0.0000 0.0000 0.0000
Mn1 0.5000 0.5000 0.0000
Cr1 0.0000 0.5000 0.5000
Cr2 0.5000 0.0000 0.5000
H1 0.5000 0.5000 0.5000
```